VASP calculation (PBE with a Hubbard U) on YMn3F after structural relaxation.

Cell and atoms, written as extended XYZ:
```
5
Lattice="4.739 0.000 0.000 0.000 4.739 0.000 0.000 0.000 4.739" Properties=species:S:1:pos:R:3 pbc="T T T"
F 0.000 0.000 0.000
Mn 0.000 2.369 0.000
Mn 0.000 0.000 2.369
Mn 2.369 0.000 0.000
Y 2.369 2.369 2.369
```

Space group   Pm-3m, No. 221
Calculated density   4.3 Mg/m³
Size of the total moment   13.97 Bohr magnetons per cell
Final energy   -6.249 eV/atom